Computed, not measured: Mg2ZnInHg8 after structural relaxation at the PBE-GGA level of DFT.

Raw total energy, eV per formula unit: -9.19
Space-group type: P-3m1, No. 164
Size of the total moment, μB/f.u.: 0.0
DFT formation energy, eV/atom: 0.036

abc: 6.344 6.344 8.550
angles: 90.00 90.00 120.00
Atoms (fractional coordinates):
Mg  0.667  0.333  0.092
Mg  0.333  0.667  0.908
Zn  0.000  0.000  0.000
In  0.000  0.000  0.500
Hg  0.824  0.649  0.778
Hg  0.351  0.176  0.778
Hg  0.824  0.176  0.778
Hg  0.176  0.351  0.222
Hg  0.649  0.824  0.222
Hg  0.176  0.824  0.222
Hg  0.667  0.333  0.437
Hg  0.333  0.667  0.563

***

Computed, not measured: Na2MgTl3I6 after structural relaxation at the PBE-GGA level of DFT.

Raw formation energy, eV/atom: -0.802
Raw total energy, eV per formula unit: -30.26
Space-group type: C2/m, No. 12
Size of the total moment, μB/f.u.: 0.0

abc: 7.840 7.840 9.558
angles: 100.55 100.55 122.07
Atoms (fractional coordinates):
Na  0.328  0.672  0.000
Na  0.672  0.328  0.000
Mg  0.000  0.000  0.000
Tl  0.147  0.853  0.500
Tl  0.853  0.147  0.500
Tl  0.500  0.500  0.500
I  0.907  0.595  0.799
I  0.776  0.776  0.189
I  0.093  0.405  0.201
I  0.595  0.907  0.799
I  0.224  0.224  0.811
I  0.405  0.093  0.201

***

Computed, not measured: Rb2HfB2 after structural relaxation at the PBE-GGA level of DFT.

Raw total energy, eV per formula unit: -14.86
Space-group type: P4/mbm, No. 127
Size of the total moment, μB/f.u.: 0.8
Energy above the most stable polymorph in this dataset, meV/atom: 0.0
DFT formation energy, eV/atom: 2.076

abc: 8.778 8.778 3.028
angles: 90.00 90.00 90.00
Site moments in Bohr magnetons follow the coordinates.
Atoms (fractional coordinates):
B  0.181  0.681  0.500  0.14
B  0.681  0.819  0.500  0.12
B  0.819  0.319  0.500  0.14
B  0.319  0.181  0.500  0.12
Hf  0.000  0.000  0.000  0.02
Hf  0.500  0.500  0.000  0.02
Rb  0.377  0.877  0.000  0.03
Rb  0.877  0.623  0.000  0.03
Rb  0.623  0.123  0.000  0.03
Rb  0.123  0.377  0.000  0.03

***

Computed, not measured: CdAuCl2 after structural relaxation at the PBE-GGA level of DFT.

Raw formation energy, eV/atom: -0.332
Raw total energy, eV per formula unit: -9.21
Space-group type: C2/m, No. 12
Size of the total moment, μB/f.u.: 0.0
Energy above the most stable polymorph in this dataset, meV/atom: 93.7

abc: 7.578 7.578 4.253
angles: 97.94 97.94 29.84
Atoms (fractional coordinates):
Cl  0.902  0.902  0.982
Cl  0.598  0.598  0.518
Au  0.750  0.750  0.750
Cd  0.250  0.250  0.250

***

Computed, not measured: TcPdAu after structural relaxation at the PBE-GGA level of DFT.

Raw total energy, eV per formula unit: -18.40
Space-group type: I4mm, No. 107
Size of the total moment, μB/f.u.: 0.0
DFT formation energy, eV/atom: 0.146

abc: 2.779 2.779 6.451
angles: 102.44 102.44 90.00
Atoms (fractional coordinates):
Au  0.003  0.003  0.005
Tc  0.674  0.674  0.347
Pd  0.324  0.324  0.648

***

Computed, not measured: YPOs2 after structural relaxation at the PBE-GGA level of DFT.

Raw total energy, eV per formula unit: -33.28
Space-group type: C2/m, No. 12
Size of the total moment, μB/f.u.: 0.0
DFT formation energy, eV/atom: 0.262

abc: 5.665 5.665 2.818
angles: 75.77 75.77 121.51
Atoms (fractional coordinates):
Y  0.500  0.500  0.500
P  0.000  0.000  0.500
Os  0.000  0.500  0.000
Os  0.500  0.000  0.000